Compound: Na2BiO3
Source: Alexandria via LeMat-Bulk
Functional: PBE
Structure: relaxed

The structure in POSCAR format:
```
Na2BiO3
1.0
3.0416 -5.0341 0.0000
3.0416 5.0341 0.0000
-2.1714 0.0000 5.4674
Na Bi O
4 2 6
Cartesian
1.4130 4.2091 4.1006
2.4987 2.5704 1.3669
1.4130 -2.5704 4.1006
2.4987 -4.2091 1.3669
1.4130 0.9185 4.1006
2.4987 -0.9185 1.3669
0.4351 2.5170 2.7337
-0.4177 0.6872 5.4490
0.6681 -0.6872 2.7152
1.5208 -2.5170 0.0000
3.2436 0.6872 2.7522
4.3294 -0.6872 0.0185
```

The value obtained for the uncorrected formation energy is -1.381 eV per atom.

Compound: Ta2Rh
Source: Alexandria via LeMat-Bulk
Functional: PBE
Structure: relaxed

The structure in POSCAR format:
```
Ta2Rh
1.0
5.4194 0.0000 0.0000
0.0000 4.5126 0.0000
0.0000 0.0000 8.2983
Ta Rh
8 4
Cartesian
0.1666 1.1282 2.0421
0.9499 1.1282 4.8890
1.7598 3.3845 0.7398
2.5431 3.3845 6.1913
2.8764 1.1282 2.1071
3.6596 1.1282 7.5585
4.4695 3.3845 3.4094
5.2528 3.3845 6.2562
0.9942 1.1282 7.7199
1.7155 3.3845 3.5707
3.7039 1.1282 4.7276
4.4253 3.3845 0.5785
```

The formation energy from the elements comes out at -0.22 eV/atom.

no.,energy (eV per atom)
1,-4.947
2,-10.570